1.
! NaAs3H | Alexandria | PBE-GGA | optimized geometry; values from VASP
! Uncorrected energy in eV/cell: -17.16
! DOS(E_F) in states/eV/atom: 0.295
! Crystal system: cubic
&SYSTEM
  ibrav = 0, nat = 5, ntyp = 3
/
ATOMIC_SPECIES
Na 22.99 Na.upf
As 74.92 As.upf
H 1.01 H.upf
CELL_PARAMETERS angstrom
4.3790 0.0000 0.0000
0.0000 4.3790 0.0000
0.0000 0.0000 4.3790
ATOMIC_POSITIONS crystal
Na 0.0000 0.0000 0.0000
As 0.0000 0.5000 0.5000
As 0.5000 0.0000 0.5000
As 0.5000 0.5000 0.0000
H 0.5000 0.5000 0.5000

***

2.
! Tm2ThIn2 | Alexandria | PBE-GGA | optimized geometry; values from VASP
! Uncorrected energy in eV/cell: -21.46
! E_form in eV per atom: 0.0762
! DOS(E_F) in states/eV/atom: 0.913
! Crystal system: hexagonal
&SYSTEM
  ibrav = 0, nat = 5, ntyp = 3
/
ATOMIC_SPECIES
Tm 168.93 Tm.upf
Th 232.04 Th.upf
In 114.82 In.upf
CELL_PARAMETERS angstrom
5.2244 0.0000 0.0000
-2.6122 4.5245 0.0000
0.0000 0.0000 6.4444
ATOMIC_POSITIONS crystal
Tm 0.0000 0.0000 0.0000
Tm 0.3333 0.6667 0.5000
Th 0.0000 0.0000 0.5000
In 0.6667 0.3333 0.2534
In 0.6667 0.3333 0.7466

***

3.
! AgPPbS2 | Alexandria | PBE-GGA | optimized geometry; values from VASP
! Uncorrected energy in eV/cell: -17.40
! DOS(E_F) in states/eV/atom: 0.785
! Crystal system: tetragonal
&SYSTEM
  ibrav = 0, nat = 5, ntyp = 4
/
ATOMIC_SPECIES
Ag 107.87 Ag.upf
P 30.97 P.upf
Pb 207.20 Pb.upf
S 32.06 S.upf
CELL_PARAMETERS angstrom
5.1614 0.0000 0.0000
0.0000 5.1614 0.0000
0.0000 0.0000 4.8099
ATOMIC_POSITIONS crystal
Ag 0.0000 0.0000 0.0000
P 0.0000 0.0000 0.5000
Pb 0.5000 0.5000 0.5000
S 0.0000 0.5000 0.0000
S 0.5000 0.0000 0.0000